# 1
The following is a PBE-GGA calculation of an optimized crystal structure of Nd8TlSb5, from Alexandria via LeMat-Bulk.

## Properties
ΔE_f (raw) (eV per atom): -0.94
E_tot (eV per atom): -5.3087
Fermi-level density of states (states/eV/f.u.): 13.68
Space-group type: No. 82

Lattice parameters (Å, degrees): 8.2593 8.2593 8.2593 109.58 109.25 109.58
Closest atoms and distances in Å follow each position.
Sites, in units of the cell vectors:
Nd  0.1236  0.7531  0.5162  5 Sb 3.16-3.42, 1 Tl 3.47
Nd  0.4838  0.6074  0.2369  5 Sb 3.16-3.42, 1 Tl 3.47
Nd  0.9801  0.1066  0.7360  5 Sb 3.17-3.46, 1 Tl 3.20
Nd  0.6294  0.8934  0.8736  5 Sb 3.17-3.46, 1 Tl 3.20
Nd  0.7631  0.2469  0.3705  5 Sb 3.16-3.42, 1 Tl 3.47
Sb  0.8718  0.8736  0.2492  8 Nd 3.16-3.46
Tl  0.2500  0.5000  0.7500  8 Nd 3.20-3.47
Sb  0.0018  0.3774  0.1282  8 Nd 3.16-3.46
Nd  0.6295  0.3926  0.8764  5 Sb 3.16-3.42, 1 Tl 3.47
Sb  0.5000  0.0000  0.5000  8 Nd 3.17-3.42
Nd  0.1264  0.7559  0.0199  5 Sb 3.17-3.46, 1 Tl 3.20
Nd  0.2640  0.2441  0.3706  5 Sb 3.17-3.46, 1 Tl 3.20
Sb  0.3756  0.1264  0.9982  8 Nd 3.16-3.46
Sb  0.7508  0.6226  0.6244  8 Nd 3.16-3.46

# 2
The following is a PBE-GGA calculation of an optimized crystal structure of Nd4TlSb5, from Alexandria via LeMat-Bulk.

## Properties
ΔE_f (raw) (eV per atom): -0.81
E_tot (eV per atom): -5.0187
Fermi-level density of states (states/eV/f.u.): 3.87
Space-group type: No. 71

Lattice parameters (Å, degrees): 4.3708 8.7086 8.7086 81.71 75.47 75.47
Closest atoms and distances in Å follow each position.
Sites, in units of the cell vectors:
Sb  0.5830  0.9881  0.3458  4 Nd 3.18-3.28, 2 Sb 3.42
Nd  0.5057  0.7443  0.7443  5 Sb 3.04-3.18, 1 Tl 3.18
Sb  0.7500  0.5000  0.5000  6 Nd 3.04-3.22
Tl  0.2500  0.0000  0.0000  4 Nd 3.18-3.33
Sb  0.5830  0.3458  0.9881  4 Nd 3.18-3.28, 2 Sb 3.42
Nd  0.2500  0.7079  0.2921  6 Sb 3.22-3.28, 1 Tl 3.33
Nd  0.2500  0.2921  0.7079  6 Sb 3.22-3.28, 1 Tl 3.33
Sb  0.9170  0.0119  0.6542  4 Nd 3.18-3.28, 2 Sb 3.42
Nd  0.9943  0.2557  0.2557  5 Sb 3.04-3.18, 1 Tl 3.18
Sb  0.9170  0.6542  0.0119  4 Nd 3.18-3.28, 2 Sb 3.42

# 3
The following is a PBE-GGA calculation of an optimized crystal structure of Nd6Tl5Sb, from Alexandria via LeMat-Bulk.

## Properties
ΔE_f (raw) (eV per atom): -0.48
E_tot (eV per atom): -4.1894
Fermi-level density of states (states/eV/f.u.): 7.38
Space-group type: No. 65

Lattice parameters (Å, degrees): 9.9245 5.3000 8.4278 71.67 80.34 57.75
Closest atoms and distances in Å follow each position.
Sites, in units of the cell vectors:
Tl  0.5000  0.8338  0.3325  8 Nd 3.37-3.44, 4 Tl 3.75-3.77
Sb  0.0000  0.0000  0.0000  8 Nd 3.34-3.36
Tl  0.5000  0.1662  0.6675  8 Nd 3.37-3.44, 4 Tl 3.75-3.77
Nd  0.2515  0.9112  0.6740  7 Tl 3.32-3.44, 1 Sb 3.36, 2 Nd 3.72
Tl  0.5000  0.5000  0.0000  8 Nd 3.34-3.42
Nd  0.7570  0.7432  0.0000  2 Sb 3.34-3.35, 6 Tl 3.42-3.49, 4 Nd 3.72
Nd  0.2430  0.2568  0.0000  2 Sb 3.34-3.35, 6 Tl 3.42-3.49, 4 Nd 3.72
Nd  0.2515  0.5852  0.3260  7 Tl 3.32-3.44, 1 Sb 3.36, 2 Nd 3.72
Nd  0.7485  0.4148  0.6740  7 Tl 3.32-3.44, 1 Sb 3.36, 2 Nd 3.72
Tl  0.0000  0.6767  0.6467  8 Nd 3.32-3.49, 2 Tl 3.54
Nd  0.7485  0.0888  0.3260  7 Tl 3.32-3.44, 1 Sb 3.36, 2 Nd 3.72
Tl  0.0000  0.3233  0.3533  8 Nd 3.32-3.49, 2 Tl 3.54

# 4
The following is a PBE-GGA calculation of an optimized crystal structure of NdTl2Sb, from Alexandria via LeMat-Bulk.

## Properties
ΔE_f (raw) (eV per atom): 0.12
E_tot (eV per atom): -3.2838
Fermi-level density of states (states/eV/f.u.): 3.76
Space-group type: No. 166
ΔE to the lowest computed polymorph (meV/atom): 558.6

Lattice parameters (Å, degrees): 3.5946 3.5946 11.7796 81.22 81.22 60.00
Closest atoms and distances in Å follow each position.
Sites, in units of the cell vectors:
Tl  0.9072  0.9072  0.2784  1 Nd 3.23, 3 Sb 3.30, 6 Tl 3.59
Tl  0.0928  0.0928  0.7216  1 Nd 3.23, 3 Sb 3.30, 6 Tl 3.59
Sb  0.5000  0.5000  0.5000  6 Tl 3.30, 6 Sb 3.59
Nd  0.0000  0.0000  0.0000  2 Tl 3.23, 6 Nd 3.59

# 5
The following is a PBE-GGA calculation of an optimized crystal structure of Nd5Tl2Sb2, from Alexandria via LeMat-Bulk.

## Properties
ΔE_f (raw) (eV per atom): -0.69
E_tot (eV per atom): -4.7845
Fermi-level density of states (states/eV/f.u.): 8.78
Space-group type: No. 64

Lattice parameters (Å, degrees): 8.4448 8.3955 9.0655 117.58 90.00 90.00
Closest atoms and distances in Å follow each position.
Sites, in units of the cell vectors:
Tl  0.5000  0.2933  0.5866  7 Nd 3.23-3.37
Tl  0.0000  0.2067  0.4134  7 Nd 3.23-3.37
Sb  0.1394  0.6367  0.0000  8 Nd 3.17-3.38, 1 Sb 3.29
Nd  0.1651  0.1937  0.7294  3 Sb 3.17-3.38, 3 Tl 3.23-3.37
Nd  0.3349  0.6937  0.7294  3 Sb 3.17-3.38, 3 Tl 3.23-3.37
Nd  0.6651  0.0357  0.7294  3 Sb 3.17-3.38, 3 Tl 3.23-3.37
Sb  0.8606  0.3633  0.0000  8 Nd 3.17-3.38, 1 Sb 3.29
Nd  0.8349  0.5357  0.7294  3 Sb 3.17-3.38, 3 Tl 3.23-3.37
Nd  0.5000  0.5000  0.0000  4 Sb 3.25-3.27, 2 Tl 3.32
Sb  0.3606  0.1367  0.0000  8 Nd 3.17-3.38, 1 Sb 3.29
Nd  0.0000  0.0000  0.0000  4 Sb 3.25-3.27, 2 Tl 3.32
Nd  0.1651  0.4643  0.2706  3 Sb 3.17-3.38, 3 Tl 3.23-3.37
Nd  0.3349  0.9643  0.2706  3 Sb 3.17-3.38, 3 Tl 3.23-3.37
Nd  0.8349  0.8063  0.2706  3 Sb 3.17-3.38, 3 Tl 3.23-3.37
Tl  0.0000  0.7933  0.5866  7 Nd 3.23-3.37
Sb  0.6394  0.8633  0.0000  8 Nd 3.17-3.38, 1 Sb 3.29
Nd  0.6651  0.3063  0.2706  3 Sb 3.17-3.38, 3 Tl 3.23-3.37
Tl  0.5000  0.7067  0.4134  7 Nd 3.23-3.37

# 6
The following is a PBE-GGA calculation of an optimized crystal structure of Nd5TlSb4, from Alexandria via LeMat-Bulk.

## Properties
ΔE_f (raw) (eV per atom): -0.97
E_tot (eV per atom): -5.2414
Fermi-level density of states (states/eV/f.u.): 5.39
Space-group type: No. 139

Lattice parameters (Å, degrees): 4.5274 4.5274 16.3183 97.97 97.97 90.00
Closest atoms and distances in Å follow each position.
Sites, in units of the cell vectors:
Nd  0.8969  0.8969  0.7937  5 Sb 3.12-3.20, 1 Tl 3.30
Sb  0.5992  0.5992  0.1985  6 Nd 3.18-3.22
Nd  0.3000  0.3000  0.6000  6 Sb 3.18-3.22
Nd  0.5000  0.5000  0.0000  2 Sb 3.18, 4 Tl 3.20
Sb  0.7995  0.7995  0.5989  6 Nd 3.12-3.20
Nd  0.1031  0.1031  0.2063  5 Sb 3.12-3.20, 1 Tl 3.30
Tl  0.0000  0.0000  0.0000  6 Nd 3.20-3.30
Nd  0.7000  0.7000  0.4000  6 Sb 3.18-3.22
Sb  0.2005  0.2005  0.4011  6 Nd 3.12-3.20
Sb  0.4008  0.4008  0.8015  6 Nd 3.18-3.22